This record from Alexandria describes Ca2Cu2Pt after structural relaxation. The functional is GGA-PBE.

## Properties
ΔE_f ... -0.35 eV per atom
Energy relative to the lowest polymorph listed for this composition ... 0.56 eV/f.u.
Symmetry ... I4/mmm (139)

Geometry as POSCAR:
```
Ca2Cu2Pt
1.0
3.495 0.000 0.000
0.000 3.495 0.000
0.000 0.000 16.922
Ca Cu Pt
4 4 2
direct
0.000 0.000 0.101
0.000 0.000 0.899
0.500 0.500 0.399
0.500 0.500 0.601
0.000 0.500 0.250
0.000 0.500 0.750
0.500 0.000 0.250
0.500 0.000 0.750
0.000 0.000 0.500
0.500 0.500 0.000
```

=====

This record from Alexandria describes HIr2RuF after structural relaxation. The functional is GGA-PBE.

## Properties
Final energy ... -5.27 eV/atom
Symmetry ... P4/mmm (123)

Geometry as POSCAR:
```
HIr2RuF
1.0
4.803 0.000 0.000
0.000 4.803 0.000
0.000 0.000 3.135
H Ir Ru F
1 2 1 1
direct
0.000 0.000 0.000
0.000 0.500 0.500
0.500 0.000 0.500
0.000 0.000 0.500
0.500 0.500 0.000
```